1.
Nd2Al2O5: relaxed, PBE-GGA.

It has space group P4/mmm (No. 123), with a = 3.7605 Å, b = 3.7605 Å, c = 7.2779 Å, α = 90.00°, β = 90.00° and γ = 90.00°. The inequivalent atoms are Nd at (0.0000, 0.0000, 0.0000), Nd at (0.0000, 0.0000, 0.5000), Al at (0.5000, 0.5000, 0.2402), O at (0.0000, 0.5000, 0.2459) and O at (0.5000, 0.5000, 0.5000).

***

2.
Co11W2: relaxed, PBE-GGA.

It has space group R-3m (No. 166, hexagonal axes), with a = 4.6298 Å, b = 4.6298 Å, c = 24.7112 Å, α = 90.00°, β = 90.00° and γ = 120.00°. The inequivalent atoms are Co at (0.0000, 0.0000, 0.0000), Co at (0.0000, 0.0000, 0.3501), Co at (0.0000, 0.0000, 0.4519), Co at (0.0068, 0.5034, 0.4090) and W at (0.0000, 0.0000, 0.1645).

***

3.
TbH: relaxed, PBE-GGA.

It has space group Fm-3m (No. 225), with a = 4.9285 Å, b = 4.9285 Å, c = 4.9285 Å, α = 90.00°, β = 90.00° and γ = 90.00°. The inequivalent atoms are Tb at (0.0000, 0.0000, 0.0000) and H at (0.0000, 0.0000, 0.5000).

***

Calculated size of the total moment, 0.0, 17.0, 0.0 μB per formula unit (same order as the records).
Calculated E_tot, -68.0, -307.3, -35.0 eV for the cell shown (same order as the records).